First-principles (PBE-GGA) data for a geometry-optimized Pm5Sm2Pt4 structure, as listed in Alexandria.

**ΔE_f**: -0.642 eV per atom
**Size of the total moment**: 0.000 Bohr magnetons per cell

a = 25.011 Å, b = 3.829 Å, c = 6.934 Å
α = 90.00°, β = 93.18°, γ = 90.00°
Space group C2/m (No. 12)
One atom of each set of equivalent atoms:
Pm (0.000, 0.000, 0.000) x2
Pm (0.134, 0.500, 0.189) x4
Pm (0.233, 0.500, 0.732) x4
Sm (0.089, 0.500, 0.658) x4
Pt (0.025, 0.500, 0.304) x4
Pt (0.169, 0.000, 0.493) x4

First-principles (PBE-GGA) data for a geometry-optimized PmSmPt3 structure, as listed in Alexandria.

**ΔE_f**: -1.058 eV per atom
**Size of the total moment**: 0.000 Bohr magnetons per cell

a = 7.012 Å, b = 7.923 Å, c = 7.924 Å
α = 90.00°, β = 90.00°, γ = 90.00°
Space group Pnnm (No. 58)
One atom of each set of equivalent atoms:
Pm (0.212, 0.136, 0.000) x4
Sm (0.211, 0.136, 0.500) x4
Pt (0.000, 0.500, 0.248) x4
Pt (0.120, 0.854, 0.250) x8

First-principles (PBE-GGA) data for a geometry-optimized Pm5SmPt6 structure, as listed in Alexandria.

**ΔE_f**: -1.085 eV per atom
**Size of the total moment**: 0.000 Bohr magnetons per cell

a = 16.064 Å, b = 7.092 Å, c = 5.096 Å
α = 90.00°, β = 108.12°, γ = 90.00°
Space group C2/m (No. 12)
One atom of each set of equivalent atoms:
Pm (0.000, 0.000, 0.000) x2
Pm (0.167, 0.000, 0.667) x4
Pm (0.167, 0.500, 0.667) x4
Sm (0.000, 0.500, 0.000) x2
Pt (0.000, 0.251, 0.500) x4
Pt (0.166, 0.251, 0.166) x8

First-principles (PBE-GGA) data for a geometry-optimized PmSmPt6 structure, as listed in Alexandria.

**ΔE_f**: -0.593 eV per atom
**Size of the total moment**: 0.000 Bohr magnetons per cell

a = 5.368 Å, b = 5.368 Å, c = 5.368 Å
α = 90.00°, β = 90.00°, γ = 90.00°
Space group Pm-3 (No. 200)
One atom of each set of equivalent atoms:
Pm (0.000, 0.000, 0.000) x1
Sm (0.500, 0.500, 0.500) x1
Pt (0.000, 0.250, 0.500) x6

First-principles (PBE-GGA) data for a geometry-optimized Pm8SmPt6 structure, as listed in Alexandria.

**ΔE_f**: -0.915 eV per atom
**Size of the total moment**: 0.000 Bohr magnetons per cell

a = 8.5745 Å, b = 8.5745 Å, c = 19.0255 Å
α = 90.00°, β = 90.00°, γ = 120.00°
Space group R-3 (No. 148, hexagonal axes)
One atom of each set of equivalent atoms:
Pm (0.0000, 0.0000, 0.1667) x6
Pm (0.0002, 0.3329, 0.6115) x18
Sm (0.0000, 0.0000, 0.5000) x3
Pt (0.0001, 0.3328, 0.4360) x18

First-principles (PBE-GGA) data for a geometry-optimized PmSm2Pt3 structure, as listed in Alexandria.

**ΔE_f**: -1.072 eV per atom
**Size of the total moment**: 0.000 Bohr magnetons per cell

a = 4.164 Å, b = 5.872 Å, c = 12.466 Å
α = 90.00°, β = 90.00°, γ = 90.00°
Space group Immm (No. 71)
One atom of each set of equivalent atoms:
Pm (0.000, 0.000, 0.000) x2
Sm (0.000, 0.000, 0.334) x4
Pt (0.000, 0.500, 0.000) x2
Pt (0.000, 0.500, 0.332) x4

- Look up the ΔE_f of the sixth one.
  -1.072 eV per atom